The following is a DFT calculation (PBE) of ZrSnPd4 after structural relaxation.

```
ZrSnPd4
1.0
2.4361 -4.3795 0.0000
2.4361 4.3795 0.0000
-0.6132 0.0000 4.8330
Zr Sn Pd
1 1 4
direct
0.0000 0.0000 0.0000 Zr
0.5000 0.5000 0.5000 Sn
0.1641 0.8359 0.5000 Pd
0.3358 0.6642 0.0000 Pd
0.6642 0.3358 0.0000 Pd
0.8359 0.1641 0.5000 Pd
```

Calculated values
* DOS at the Fermi energy: 2.5 states/eV/cell
* energy of formation from the pure elements: -0.65 eV/atom
* symmetry: C2/m



The following is a DFT calculation (PBE) of SrCrRe2C after structural relaxation.

```
SrCrRe2C
1.0
4.1844 0.0000 0.0000
0.0000 4.1844 0.0000
0.0000 0.0000 4.6067
Sr Cr Re C
1 1 2 1
direct
0.0000 0.0000 0.0000 Sr
0.5000 0.5000 0.0000 Cr
0.0000 0.5000 0.5000 Re
0.5000 0.0000 0.5000 Re
0.5000 0.5000 0.5000 C
```

Calculated values
* DOS at the Fermi energy: 4.3 states/eV/cell
* energy of formation from the pure elements: 0.75 eV/atom
* symmetry: P4/mmm



The following is a DFT calculation (PBE) of TbNd2Sn3Pt4 after structural relaxation.

```
TbNd2Sn3Pt4
1.0
4.6000 0.0000 0.0000
0.0000 4.6000 0.0000
0.0000 0.0000 11.1682
Tb Nd Sn Pt
1 2 3 4
direct
0.0000 0.0000 0.0000 Tb
0.0000 0.5000 0.7177 Nd
0.5000 0.0000 0.2823 Nd
0.0000 0.5000 0.3752 Sn
0.5000 0.0000 0.6248 Sn
0.5000 0.5000 0.0000 Sn
0.0000 0.0000 0.5000 Pt
0.0000 0.5000 0.1428 Pt
0.5000 0.0000 0.8572 Pt
0.5000 0.5000 0.5000 Pt
```

Calculated values
* DOS at the Fermi energy: 7.4 states/eV/cell
* energy of formation from the pure elements: -0.90 eV/atom
* symmetry: P-4m2



The following is a DFT calculation (PBE) of Na2NdErO4 after structural relaxation.

```
Na2NdErO4
1.0
5.9613 0.0000 0.0000
0.0000 3.4891 0.0000
-2.0508 0.0000 5.6940
Na Nd Er O
2 1 1 4
direct
0.0000 0.0000 0.0000 Na
0.0000 0.5000 0.5000 Na
0.5000 0.0000 0.5000 Nd
0.5000 0.5000 0.0000 Er
0.2857 0.5000 0.2495 O
0.2886 0.0000 0.7732 O
0.7114 0.0000 0.2268 O
0.7143 0.5000 0.7505 O
```

Calculated values
* DOS at the Fermi energy: 0.0 states/eV/cell
* symmetry: P2/m
* ΔE_f (raw): -21.7 eV/f.u.



The following is a DFT calculation (PBE) of LiMoIr after structural relaxation.

```
LiMoIr
1.0
-1.5181 1.5181 4.4832
1.5181 -1.5181 4.4832
1.5181 1.5181 -4.4832
Li Mo Ir
1 1 1
direct
0.0000 0.0000 0.0000 Li
0.3223 0.3223 0.0000 Mo
0.6545 0.6545 0.0000 Ir
```

Calculated values
* distance to the lowest polymorph of the same formula: 0.0519 eV/atom
* DOS at the Fermi energy: 1.3 states/eV/cell
* energy of formation from the pure elements: 0.02 eV/atom
* symmetry: I4mm



The following is a DFT calculation (PBE) of Th3PtPbN after structural relaxation.

```
Th3PtPbN
1.0
9.1595 0.0000 0.0000
0.0000 4.1439 0.0000
-1.9207 0.0000 9.3052
Th Pt Pb N
6 2 2 2
direct
0.0605 0.2500 0.3406 Th
0.3335 0.2500 0.9837 Th
0.3779 0.7500 0.6575 Th
0.6221 0.2500 0.3425 Th
0.6665 0.7500 0.0163 Th
0.9395 0.7500 0.6594 Th
0.1561 0.2500 0.6583 Pt
0.8439 0.7500 0.3417 Pt
0.3231 0.7500 0.2762 Pb
0.6769 0.2500 0.7238 Pb
0.4163 0.7500 0.9075 N
0.5837 0.2500 0.0925 N
```

Calculated values
* DOS at the Fermi energy: 11.9 states/eV/cell
* symmetry: P2_1/m
* ΔE_f (raw): -5.6 eV/f.u.